Crystalline Er2SbH at its relaxed geometry. Source: the Alexandria database, functional PBE-GGA.

Results
SG   R-3m, No. 166
DOS at the Fermi energy   3.6 states/eV/cell
Uncorrected energy   -56.02 eV/cell
Density   8481 kg/m3

Cell lengths 4.0653, 4.0653, 18.7675 Å; angles 90.00, 90.00, 120.00 degrees
Closest atoms and distances in Å follow each position.
Fractional coordinates of all 12 atoms:
Er: 0.0000 0.0000 0.2356  3 H 2.68, 3 Sb 2.98
Er: 0.0000 0.0000 0.7644  3 H 2.68, 3 Sb 2.98
Er: 0.3333 0.6667 0.4311  3 H 2.68, 3 Sb 2.98
Er: 0.3333 0.6667 0.9022  3 H 2.68, 3 Sb 2.98
Er: 0.6667 0.3333 0.0978  3 H 2.68, 3 Sb 2.98
Er: 0.6667 0.3333 0.5689  3 H 2.68, 3 Sb 2.98
Sb: 0.0000 0.0000 0.0000  6 Er 2.98
Sb: 0.3333 0.6667 0.6667  6 Er 2.98
Sb: 0.6667 0.3333 0.3333  6 Er 2.98
H: 0.0000 0.0000 0.5000  6 Er 2.68
H: 0.3333 0.6667 0.1667  6 Er 2.68
H: 0.6667 0.3333 0.8333  6 Er 2.68

Crystalline Nd2SmRu2 at its relaxed geometry. Source: the Alexandria database, functional PBE-GGA.

Results
SG   C2/m, No. 12
DOS at the Fermi energy   6.5 states/eV/cell
Density   8624 kg/m3
Energy of formation   -0.16 eV/atom

Cell lengths 6.2158, 6.2158, 10.2613 Å; angles 113.07, 113.07, 43.36 degrees
Closest atoms and distances in Å follow each position.
Fractional coordinates of all 10 atoms:
Nd: 0.0176 0.0176 0.1955  4 Ru 2.92-3.07
Nd: 0.1782 0.1782 0.5819  4 Ru 2.94-3.17
Nd: 0.8218 0.8218 0.4181  4 Ru 2.94-3.17
Nd: 0.9824 0.9824 0.8045  4 Ru 2.92-3.07
Sm: 0.2875 0.2875 0.1367  4 Ru 2.94-3.07
Sm: 0.7125 0.7125 0.8633  4 Ru 2.94-3.07
Ru: 0.3827 0.3827 0.9010  1 Ru 2.61, 2 Nd 2.92
Ru: 0.4574 0.4574 0.5954  1 Ru 2.54
Ru: 0.5426 0.5426 0.4046  1 Ru 2.54
Ru: 0.6173 0.6173 0.0990  1 Ru 2.61, 2 Nd 2.92

Crystalline YTe2Mo at its relaxed geometry. Source: the Alexandria database, functional PBE-GGA.

Results
SG   Pm, No. 6
Formation energy (no corrections)   -0.268 eV per atom
DOS at the Fermi energy   2.9 states/eV/cell
Density   6959 kg/m3

Cell lengths 4.1691, 5.7186, 4.4044 Å; angles 90.00, 90.01, 90.00 degrees
Closest atoms and distances in Å follow each position.
Fractional coordinates of all 4 atoms:
Y: 0.0000 0.0000 0.0000  6 Te 2.96-3.10
Te: 0.0017 0.5000 0.8241  4 Mo 2.96-3.11, 2 Y 2.96
Te: 0.5002 0.0000 0.4804  2 Mo 2.97, 4 Y 2.97-3.10
Mo: 0.5017 0.5000 0.3013  6 Te 2.96-3.11